The following is a GGA-PBE calculation of a geometry-optimized Pr12Nd6Cd structure, from the Alexandria database.

Summary:
As for the offset from the most stable computed form: 0.019 eV per atom. The value obtained for the formation energy from the elements is 0.101 eV/atom.

a = 8.9202 Å, b = 8.9202 Å, c = 8.9202 Å
α = 97.80°, β = 97.80°, γ = 97.80°
Closest atoms and distances in Å follow each position.
Positions (direct):
Cd: 0.0000 0.0000 0.0000  6 Pr 3.49, 6 Nd 3.65
Pr: 0.7401 0.9997 0.2599  4 Nd 3.46-3.58, 1 Cd 3.49, 6 Pr 3.49-3.74
Pr: 0.2599 0.0003 0.7401  4 Nd 3.46-3.58, 1 Cd 3.49, 6 Pr 3.49-3.74
Pr: 0.2599 0.7401 0.9997  4 Nd 3.46-3.58, 1 Cd 3.49, 6 Pr 3.49-3.74
Pr: 0.5817 0.5818 0.1714  5 Pr 3.26-3.62
Pr: 0.9997 0.2599 0.7401  4 Nd 3.46-3.58, 1 Cd 3.49, 6 Pr 3.49-3.74
Pr: 0.5818 0.1714 0.5817  5 Pr 3.26-3.62
Pr: 0.1714 0.5817 0.5818  5 Pr 3.26-3.62
Pr: 0.0003 0.7401 0.2599  4 Nd 3.46-3.58, 1 Cd 3.49, 6 Pr 3.49-3.74
Pr: 0.7401 0.2599 0.0003  4 Nd 3.46-3.58, 1 Cd 3.49, 6 Pr 3.49-3.74
Pr: 0.4182 0.8286 0.4183  5 Pr 3.26-3.62
Pr: 0.4183 0.4182 0.8286  5 Pr 3.26-3.62
Pr: 0.8286 0.4183 0.4182  5 Pr 3.26-3.62
Nd: 0.5936 0.8644 0.8639  4 Pr 3.46-3.58, 2 Nd 3.64, 1 Cd 3.65
Nd: 0.1361 0.4064 0.1356  4 Pr 3.46-3.58, 2 Nd 3.64, 1 Cd 3.65
Nd: 0.8639 0.5936 0.8644  4 Pr 3.46-3.58, 2 Nd 3.64, 1 Cd 3.65
Nd: 0.1356 0.1361 0.4064  4 Pr 3.46-3.58, 2 Nd 3.64, 1 Cd 3.65
Nd: 0.8644 0.8639 0.5936  4 Pr 3.46-3.58, 2 Nd 3.64, 1 Cd 3.65
Nd: 0.4064 0.1356 0.1361  4 Pr 3.46-3.58, 2 Nd 3.64, 1 Cd 3.65

The following is a GGA-PBE calculation of a geometry-optimized Y2Ho3Ga2 structure, from the Alexandria database.

Summary:
The value obtained for the formation energy from the elements is -0.340 eV/atom.

a = 4.0788 Å, b = 6.3638 Å, c = 8.5464 Å
α = 111.95°, β = 90.00°, γ = 108.69°
Closest atoms and distances in Å follow each position.
Positions (direct):
Ga: 0.1744 0.3488 0.2106  5 Ho 2.97-3.07, 2 Y 2.99
Ga: 0.8256 0.6512 0.7894  5 Ho 2.97-3.07, 2 Y 2.99
Ho: 0.5000 0.0000 0.0000  4 Ga 2.97
Ho: 0.3813 0.7626 0.5646  3 Ga 3.05-3.07
Ho: 0.6187 0.2374 0.4354  3 Ga 3.05-3.07
Y: 0.8511 0.7022 0.1935  3 Ga 2.99-3.34
Y: 0.1489 0.2978 0.8065  3 Ga 2.99-3.34

The following is a GGA-PBE calculation of a geometry-optimized Y2InCu3 structure, from the Alexandria database.

Summary:
The value obtained for the formation energy from the elements is -0.258 eV/atom.

a = 5.7010 Å, b = 5.7010 Å, c = 8.5261 Å
α = 105.09°, β = 105.09°, γ = 102.79°
Closest atoms and distances in Å follow each position.
Positions (direct):
Y: 0.2500 0.7500 0.5000  4 In 3.14, 8 Cu 3.16-3.17
Y: 0.7500 0.2500 0.5000  4 In 3.14, 8 Cu 3.16-3.17
Y: 0.2381 0.2381 0.0000  10 Cu 3.02-3.21, 2 In 3.16
Y: 0.7619 0.7619 0.0000  10 Cu 3.02-3.21, 2 In 3.16
Cu: 0.6766 0.1622 0.8388  2 Cu 2.50-2.51, 1 In 2.64
Cu: 0.1622 0.6766 0.8388  2 Cu 2.50-2.51, 1 In 2.64
Cu: 0.1627 0.1627 0.3253  2 Cu 2.51, 1 In 2.67
Cu: 0.3234 0.8378 0.1612  2 Cu 2.50-2.51, 1 In 2.64
Cu: 0.8378 0.3234 0.1612  2 Cu 2.50-2.51, 1 In 2.64
Cu: 0.8373 0.8373 0.6747  2 Cu 2.51, 1 In 2.67
In: 0.6649 0.6649 0.3297  3 Cu 2.64-2.67
In: 0.3351 0.3351 0.6703  3 Cu 2.64-2.67

The following is a GGA-PBE calculation of a geometry-optimized Pa3Be4TlO12 structure, from the Alexandria database.

Summary:
As for the formation energy without anion corrections: -2.93 eV per atom.

a = 6.8072 Å, b = 6.8072 Å, c = 6.8072 Å
α = 102.14°, β = 102.14°, γ = 102.14°
Closest atoms and distances in Å follow each position.
Positions (direct):
Be: 0.5000 0.5000 0.5000  3 O 1.56
Be: 0.9500 0.0500 0.5000  3 O 1.54-1.58
Be: 0.0500 0.5000 0.9500  3 O 1.54-1.58
Be: 0.5000 0.9500 0.0500  3 O 1.54-1.58
O: 0.9932 0.2365 0.4063  1 Be 1.54
O: 0.3523 0.6477 0.5000  1 Be 1.56
O: 0.5000 0.3523 0.6477  1 Be 1.56
O: 0.0990 0.9010 0.5000  1 Be 1.58
O: 0.9010 0.5000 0.0990  1 Be 1.58
O: 0.2365 0.4063 0.9932  1 Be 1.54
O: 0.6477 0.5000 0.3523  1 Be 1.56
O: 0.5937 0.7635 0.0068  1 Be 1.54
O: 0.7635 0.0068 0.5937  1 Be 1.54
O: 0.5000 0.0990 0.9010  1 Be 1.58
O: 0.4063 0.9932 0.2365  1 Be 1.54
O: 0.0068 0.5937 0.7635  1 Be 1.54
Pa: 0.5479 0.4521 0.0000  6 O 2.07-2.29
Pa: 0.0000 0.5479 0.4521  6 O 2.07-2.29
Pa: 0.4521 0.0000 0.5479  6 O 2.07-2.29
Tl: 0.0000 0.0000 0.0000  6 O 2.91

The following is a GGA-PBE calculation of a geometry-optimized ThBe2Pd2Pt structure, from the Alexandria database.

Summary:
The value obtained for the formation energy from the elements is -0.580 eV/atom.

a = 4.2839 Å, b = 4.2839 Å, c = 5.5889 Å
α = 90.00°, β = 90.00°, γ = 90.00°
Closest atoms and distances in Å follow each position.
Positions (direct):
Pd: 0.5000 0.5000 0.2519  4 Be 2.56, 2 Pd 2.77-2.82
Pd: 0.5000 0.5000 0.7481  4 Be 2.56, 2 Pd 2.77-2.82
Pt: 0.0000 0.0000 0.0000  4 Be 2.14
Be: 0.5000 0.0000 0.0000  2 Pt 2.14
Be: 0.0000 0.5000 0.0000  2 Pt 2.14
Th: 0.0000 0.0000 0.5000  2 Pt 2.79

The following is a GGA-PBE calculation of a geometry-optimized Nd3Si3Ni structure, from the Alexandria database.

Summary:
As for the offset from the most stable computed form: 0.003 eV per atom. As for the formation energy without anion corrections: -0.72 eV per atom.

a = 4.2644 Å, b = 5.8939 Å, c = 13.2597 Å
α = 84.27°, β = 80.75°, γ = 68.79°
Closest atoms and distances in Å follow each position.
Positions (direct):
Nd: 0.4747 0.6662 0.3845  5 Si 3.05-3.11, 4 Ni 3.15-3.28
Nd: 0.2517 0.2669 0.2297  6 Si 3.01-3.29, 2 Ni 3.14
Nd: 0.5253 0.3338 0.6155  5 Si 3.05-3.11, 4 Ni 3.15-3.28
Nd: 0.3944 0.2895 0.9217  7 Si 3.04-3.19
Nd: 0.7483 0.7331 0.7703  6 Si 3.01-3.29, 2 Ni 3.14
Nd: 0.6056 0.7104 0.0783  7 Si 3.04-3.19
Si: 0.0500 0.1360 0.7640  1 Ni 2.43, 1 Si 2.50
Si: 0.8276 0.8037 0.5412  3 Ni 2.39-2.44
Si: 0.9500 0.8640 0.2360  1 Ni 2.43, 1 Si 2.50
Si: 0.1030 0.8700 0.9240  2 Si 2.50
Si: 0.8970 0.1300 0.0760  2 Si 2.50
Si: 0.1724 0.1963 0.4588  3 Ni 2.39-2.44
Ni: 0.7609 0.0860 0.3922  4 Si 2.39-2.44
Ni: 0.2391 0.9140 0.6078  4 Si 2.39-2.44

The following is a GGA-PBE calculation of a geometry-optimized Ca5Ga6O14 structure, from the Alexandria database.

Summary:
As for the formation energy without anion corrections: -2.37 eV per atom.

a = 8.1395 Å, b = 8.1395 Å, c = 10.6009 Å
α = 90.00°, β = 90.00°, γ = 91.13°
Closest atoms and distances in Å follow each position.
Positions (direct):
O: 0.0606 0.8078 0.6206  2 Ga 1.87-1.89
O: 0.5116 0.1899 0.1627  1 Ga 1.84
O: 0.5651 0.9912 0.4147  2 Ga 1.88-1.90
O: 0.2365 0.7069 0.9068  2 Ga 1.88-1.92
O: 0.0088 0.4349 0.9147  2 Ga 1.88-1.90
O: 0.4992 0.7488 0.1307  2 Ga 1.84-1.87
O: 0.7488 0.4992 0.1307  2 Ga 1.84-1.87
O: 0.8078 0.0606 0.6206  2 Ga 1.87-1.89
O: 0.0104 0.0104 0.3618  1 Ga 1.82
O: 0.9394 0.1922 0.1206  2 Ga 1.87-1.89
O: 0.6114 0.6114 0.4247  2 Ga 1.84
O: 0.8532 0.8532 0.1212  2 Ga 1.88-1.91
O: 0.4884 0.8101 0.6627  1 Ga 1.84
O: 0.7019 0.7019 0.8827  1 Ga 1.84
O: 0.1899 0.5116 0.1627  1 Ga 1.84
O: 0.5008 0.2512 0.6307  2 Ga 1.84-1.87
O: 0.3886 0.3886 0.9247  2 Ga 1.84
O: 0.4349 0.0088 0.9147  2 Ga 1.88-1.90
O: 0.2512 0.5008 0.6307  2 Ga 1.84-1.87
O: 0.1468 0.1468 0.6212  2 Ga 1.88-1.91
O: 0.8101 0.4884 0.6627  1 Ga 1.84
O: 0.2931 0.7635 0.4068  2 Ga 1.88-1.92
O: 0.2981 0.2981 0.3827  1 Ga 1.84
O: 0.9912 0.5651 0.4147  2 Ga 1.88-1.90
O: 0.9896 0.9896 0.8618  1 Ga 1.82
O: 0.7069 0.2365 0.9068  2 Ga 1.88-1.92
O: 0.1922 0.9394 0.1206  2 Ga 1.87-1.89
O: 0.7635 0.2931 0.4068  2 Ga 1.88-1.92
Ga: 0.9997 0.9997 0.0331  4 O 1.82-1.91
Ga: 0.1586 0.6475 0.5214  4 O 1.84-1.88
Ga: 0.6999 0.6999 0.0560  4 O 1.84-1.88
Ga: 0.2118 0.4981 0.9904  4 O 1.84-1.92
Ga: 0.5019 0.7882 0.4904  4 O 1.84-1.92
Ga: 0.0003 0.0003 0.5331  4 O 1.82-1.91
Ga: 0.3525 0.8414 0.0214  4 O 1.84-1.88
Ga: 0.6475 0.1586 0.5214  4 O 1.84-1.88
Ga: 0.3001 0.3001 0.5560  4 O 1.84-1.88
Ga: 0.7882 0.5019 0.4904  4 O 1.84-1.92
Ga: 0.8414 0.3525 0.0214  4 O 1.84-1.88
Ga: 0.4981 0.2118 0.9904  4 O 1.84-1.92
Ca: 0.4726 0.4726 0.2526  6 O 2.42-2.60
Ca: 0.7416 0.0585 0.2502  6 O 2.32-2.53
Ca: 0.6719 0.9579 0.7981  5 O 2.29-2.55
Ca: 0.0585 0.7416 0.2502  6 O 2.32-2.53
Ca: 0.2584 0.9415 0.7502  6 O 2.32-2.53
Ca: 0.3281 0.0421 0.2981  5 O 2.29-2.55
Ca: 0.9579 0.6719 0.7981  5 O 2.29-2.55
Ca: 0.9415 0.2584 0.7502  6 O 2.32-2.53
Ca: 0.0421 0.3281 0.2981  5 O 2.29-2.55
Ca: 0.5274 0.5274 0.7526  6 O 2.42-2.60

The following is a GGA-PBE calculation of a geometry-optimized SiHg2Os structure, from the Alexandria database.

Summary:
As for the formation energy without anion corrections: 0.81 eV per atom.

a = 5.0640 Å, b = 5.0640 Å, c = 5.0640 Å
α = 131.90°, β = 131.90°, γ = 70.38°
Closest atoms and distances in Å follow each position.
Positions (direct):
Hg: 0.2500 0.7500 0.5000  4 Si 2.92, 4 Os 2.92, 4 Hg 2.92
Hg: 0.0000 0.0000 0.0000  4 Os 2.92, 4 Hg 2.92, 4 Si 2.92
Os: 0.5000 0.5000 0.0000  8 Hg 2.92, 4 Si 2.92
Si: 0.7500 0.2500 0.5000  8 Hg 2.92, 4 Os 2.92

The following is a GGA-PBE calculation of a geometry-optimized GaPd12Pt3 structure, from the Alexandria database.

Summary:
The value obtained for the formation energy from the elements is 0.086 eV/atom.

a = 9.2245 Å, b = 9.2245 Å, c = 8.9787 Å
α = 59.09°, β = 59.09°, γ = 60.00°
Closest atoms and distances in Å follow each position.
Positions (direct):
Pt: 0.1141 0.6112 0.0219  9 Pd 2.65-2.86
Pt: 0.2529 0.1141 0.0219  9 Pd 2.65-2.86
Pt: 0.7529 0.1112 0.5219  9 Pd 2.65-2.86
Pt: 0.6141 0.7529 0.5219  9 Pd 2.65-2.86
Pt: 0.6112 0.2529 0.0219  9 Pd 2.65-2.86
Pt: 0.1112 0.6141 0.5219  9 Pd 2.65-2.86
Pd: 0.6576 0.4401 0.1309  1 Ga 2.48, 5 Pd 2.59-2.76, 1 Pt 2.65
Pd: 0.4382 0.9857 0.2617  6 Pd 2.71-2.77, 3 Pt 2.82-2.86
Pd: 0.4446 0.6176 0.8949  3 Pt 2.67-2.77, 7 Pd 2.71-2.99
Pd: 0.4073 0.2966 0.6620  1 Ga 2.48, 4 Pd 2.59-2.75, 2 Pt 2.70-2.72
Pd: 0.9446 0.5429 0.3949  3 Pt 2.67-2.77, 7 Pd 2.71-2.99
Pd: 0.8143 0.4857 0.7617  6 Pd 2.71-2.77, 3 Pt 2.82-2.86
Pd: 0.1342 0.7966 0.1620  1 Ga 2.48, 4 Pd 2.59-2.75, 2 Pt 2.70-2.72
Pd: 0.2713 0.9401 0.6309  1 Ga 2.48, 5 Pd 2.59-2.76, 1 Pt 2.65
Pd: 0.9382 0.8143 0.7617  6 Pd 2.71-2.77, 3 Pt 2.82-2.86
Pd: 0.4401 0.7713 0.1309  1 Ga 2.48, 5 Pd 2.59-2.76, 1 Pt 2.65
Pd: 0.9857 0.3143 0.2617  6 Pd 2.71-2.77, 3 Pt 2.82-2.86
Pd: 0.7713 0.6576 0.1309  1 Ga 2.48, 5 Pd 2.59-2.76, 1 Pt 2.65
Pd: 0.6342 0.4073 0.6620  1 Ga 2.48, 4 Pd 2.59-2.75, 2 Pt 2.70-2.72
Pd: 0.6176 0.0429 0.8949  3 Pt 2.67-2.77, 7 Pd 2.71-2.99
Pd: 0.1576 0.2713 0.6309  1 Ga 2.48, 5 Pd 2.59-2.76, 1 Pt 2.65
Pd: 0.9073 0.1342 0.1620  1 Ga 2.48, 4 Pd 2.59-2.75, 2 Pt 2.70-2.72
Pd: 0.4857 0.9382 0.7617  6 Pd 2.71-2.77, 3 Pt 2.82-2.86
Pd: 0.3143 0.4382 0.2617  6 Pd 2.71-2.77, 3 Pt 2.82-2.86
Pd: 0.7966 0.9073 0.1620  1 Ga 2.48, 4 Pd 2.59-2.75, 2 Pt 2.70-2.72
Pd: 0.9401 0.1576 0.6309  1 Ga 2.48, 5 Pd 2.59-2.76, 1 Pt 2.65
Pd: 0.5429 0.1176 0.3949  3 Pt 2.67-2.77, 7 Pd 2.71-2.99
Pd: 0.0429 0.4446 0.8949  3 Pt 2.67-2.77, 7 Pd 2.71-2.99
Pd: 0.2966 0.6342 0.6620  1 Ga 2.48, 4 Pd 2.59-2.75, 2 Pt 2.70-2.72
Pd: 0.1176 0.9446 0.3949  3 Pt 2.67-2.77, 7 Pd 2.71-2.99
Ga: 0.0339 0.0339 0.8982  6 Pd 2.48
Ga: 0.5339 0.5339 0.3982  6 Pd 2.48

The following is a GGA-PBE calculation of a geometry-optimized Zr2ScInH structure, from the Alexandria database.

Summary:
As for the offset from the most stable computed form: 0.000 eV per atom.

a = 4.4680 Å, b = 4.4680 Å, c = 4.5156 Å
α = 90.00°, β = 90.00°, γ = 90.00°
Closest atoms and distances in Å follow each position.
Positions (direct):
Zr: 0.5000 0.0000 0.0000  2 H 2.23
Zr: 0.0000 0.5000 0.0000  2 H 2.23
In: 0.5000 0.5000 0.5000  4 Sc 3.16, 8 Zr 3.18
Sc: 0.0000 0.0000 0.5000  2 H 2.26
H: 0.0000 0.0000 0.0000  4 Zr 2.23, 2 Sc 2.26

These records have final energy values of -84.96 -35.09 -29.50 -163.83 -34.78 -41.43 -156.83 -14.02 -82.08 -31.44 eV/f.u., in the order they appear.